Entry 1:
U3P4Rh4: optimized geometry, PBE-GGA.

Lattice parameters (Å, degrees): 3.973 6.995 7.593 117.42 105.16 90.00
Site moments in Bohr magnetons follow the coordinates.
Atoms (fractional coordinates):
1 U 0.097 0.097 0.194  0.58
2 U 0.903 0.903 0.806  0.58
3 U 0.000 0.500 0.000  1.85
4 P 0.221 0.721 0.441  0.00
5 P 0.779 0.279 0.559  0.00
6 P 0.500 0.772 0.000  -0.01
7 P 0.500 0.228 0.000  -0.01
8 Rh 0.321 0.118 0.642  0.01
9 Rh 0.679 0.476 0.358  0.01
10 Rh 0.679 0.882 0.358  0.01
11 Rh 0.321 0.524 0.642  0.01

ΔH_f (0 K) (eV per atom): -0.97
Electronic total energy (hartree per atom): -0.319
Total magnetic moment (μB per formula unit): 3.306


Entry 2:
ScIrPt: optimized geometry, PBE-GGA.

Lattice parameters (Å, degrees): 6.271 6.271 6.271 153.39 153.39 37.99
Atoms (fractional coordinates):
1 Ir 0.004 0.004 0.000
2 Pt 0.334 0.334 0.000
3 Sc 0.663 0.663 0.000

ΔH_f (0 K) (eV per atom): -0.61
Electronic total energy (hartree per atom): -0.282
Total magnetic moment (μB per formula unit): 0.000